DFT (PBE-GGA) results for CaH3Pt after structural relaxation.

## Properties
VASP energy: -19.38 eV per formula unit
spin magnetization: 0.00 μB per formula unit
SG: No. 227

The structure in POSCAR format:
```
CaH3Pt
1.0
0.000 4.872 4.872
4.872 0.000 4.872
4.872 4.872 0.000
Ca H Pt
4 12 4
Direct
0.000 0.000 0.000
0.000 0.000 0.500
0.000 0.500 0.000
0.500 0.000 0.000
0.192 0.192 0.558
0.192 0.558 0.192
0.192 0.558 0.558
0.442 0.442 0.808
0.442 0.808 0.442
0.442 0.808 0.808
0.558 0.192 0.192
0.558 0.192 0.558
0.558 0.558 0.192
0.808 0.442 0.442
0.808 0.442 0.808
0.808 0.808 0.442
0.000 0.500 0.500
0.500 0.000 0.500
0.500 0.500 0.000
0.500 0.500 0.500
```

***

DFT (PBE-GGA) results for La4Sm7Er after structural relaxation.

## Properties
VASP energy: -57.08 eV per formula unit
spin magnetization: 0.00 μB per formula unit
ΔE_f: 19 meV per atom
SG: No. 164
offset from the most stable computed form: 0.0 meV per atom

The structure in POSCAR format:
```
La4Sm7Er
1.0
3.656 0.000 0.000
-1.828 3.166 0.000
0.000 0.000 35.895
La Sm Er
4 7 1
Direct
0.333 0.667 0.165
0.333 0.667 0.416
0.667 0.333 0.584
0.667 0.333 0.835
0.000 0.000 0.249
0.000 0.000 0.500
0.000 0.000 0.751
0.333 0.667 0.669
0.333 0.667 0.920
0.667 0.333 0.080
0.667 0.333 0.331
0.000 0.000 0.000
```

***

DFT (PBE-GGA) results for CaTmTlSn after structural relaxation.

## Properties
VASP energy: -14.60 eV per formula unit
spin magnetization: 0.00 μB per formula unit
ΔE_f: -440 meV per atom
SG: No. 216

The structure in POSCAR format:
```
CaTmTlSn
1.0
7.607 0.000 0.000
0.000 7.607 0.000
0.000 0.000 7.607
Ca Tm Tl Sn
4 4 4 4
Direct
0.000 0.000 0.000
0.000 0.500 0.500
0.500 0.000 0.500
0.500 0.500 0.000
0.000 0.000 0.500
0.000 0.500 0.000
0.500 0.000 0.000
0.500 0.500 0.500
0.250 0.250 0.250
0.250 0.750 0.750
0.750 0.250 0.750
0.750 0.750 0.250
0.250 0.250 0.750
0.250 0.750 0.250
0.750 0.250 0.250
0.750 0.750 0.750
```